(1)
# MnPdS2 (PBE-GGA, optimized geometry)
data_MnPdS2
_chemical_formula_sum 'Mn4 Pd4 S8'
_symmetry_space_group_name_H-M 'I -4 2 d'
_symmetry_Int_Tables_number 122
_symmetry_space_group_name_Hall 'I -4 2bw'
_cell_length_a 5.3657
_cell_length_b 5.3657
_cell_length_c 9.8339
_cell_angle_alpha 90.00
_cell_angle_beta 90.00
_cell_angle_gamma 90.00
loop_
_atom_site_label
_atom_site_type_symbol
_atom_site_fract_x
_atom_site_fract_y
_atom_site_fract_z
_atom_site_occupancy
Mn1 Mn 0.0000 0.0000 0.0000 1
Pd1 Pd 0.0000 0.0000 0.5000 1
S1 S 0.2085 0.2500 0.1250 1
# total magnetic moment = 0.00 μB per cell
# density = 5.290 g cm⁻³
# energy = -5.9471 eV per atom
# crystal system = tetragonal

---

(2)
# Cs2K6Pt (PBE-GGA, optimized geometry)
data_Cs2K6Pt
_chemical_formula_sum 'Cs8 K24 Pt4'
_symmetry_space_group_name_H-M 'F m -3 m'
_symmetry_Int_Tables_number 225
_symmetry_space_group_name_Hall '-F 4 2 3'
_cell_length_a 13.5342
_cell_length_b 13.5342
_cell_length_c 13.5342
_cell_angle_alpha 90.00
_cell_angle_beta 90.00
_cell_angle_gamma 90.00
loop_
_atom_site_label
_atom_site_type_symbol
_atom_site_fract_x
_atom_site_fract_y
_atom_site_fract_z
_atom_site_occupancy
Cs1 Cs 0.2500 0.2500 0.2500 1
K1 K 0.0000 0.0000 0.2358 1
Pt1 Pt 0.0000 0.0000 0.0000 1
# total magnetic moment = 0.00 μB per cell
# density = 1.863 g cm⁻³
# energy = -1.5662 eV per atom
# crystal system = cubic